{
  "formula": "CaSm2Ho2",
  "functional": "PBE",
  "state": "optimized geometry",
  "energy_ev_per_atom": -4.070,
  "mass_density_g_cm3": 6.46,
  "dos_ef_per_ev_atom": 1.412,
  "crystal_system": "orthorhombic",
  "e_form_kj_per_mol_atoms": 5,
  "volume_a3_per_atom": 34.45,
  "space_group": "Cmmm, No. 65",
  "lattice_angstrom": [[5.393, 0.000, -1.310], [0.000, 3.549, -0.001], [-0.632, 0.000, 9.153]],
  "species": ["Ca", "Sm", "Sm", "Ho", "Ho"],
  "fractional_positions": [[0.000, 0.500, 0.000], [0.621, 0.000, 0.242], [0.379, 0.000, 0.758], [0.799, 0.500, 0.598], [0.201, 0.500, 0.402]]
}